(1)
Density functional theory data (PBE-GGA) for a geometry-optimized HoZrBi2 structure.

Structure (POSCAR):
```
HoZrBi2
1.0
-2.316 2.822 -0.520
-2.070 -2.106 -2.209
-4.228 -2.330 6.183
Bi Zr Ho
2 1 1
Cartesian
-3.247 -1.789 4.748
-0.981 -0.541 1.435
-2.193 0.358 -1.365
-4.307 -0.807 1.727
```

Summary:
For the total energy, the calculation gives -5.59 eV per atom. For the distance to the lowest polymorph of the same formula, the calculation gives 0.128 eV/atom.

(2)
Density functional theory data (PBE-GGA) for a geometry-optimized YZn3CuAu structure.

Structure (POSCAR):
```
YZn3CuAu
1.0
-0.043 -4.732 3.319
-2.112 -3.112 -4.464
7.025 0.189 0.361
Y Zn Cu Au
2 6 2 2
Cartesian
3.400 -4.335 1.413
1.469 -3.320 -2.198
1.531 -1.536 0.346
-0.612 -0.902 -1.294
-1.522 -4.576 -1.511
-0.634 -3.268 0.365
-1.500 -2.210 -3.170
3.339 -6.119 -1.131
3.986 -3.896 -2.987
0.884 -3.759 2.202
4.025 -2.107 -0.436
0.844 -5.547 -0.349
```

Summary:
For the total energy, the calculation gives -3.18 eV per atom.

(3)
Density functional theory data (PBE-GGA) for a geometry-optimized TbEr3Th4 structure.

Structure (POSCAR):
```
TbEr3Th4
1.0
-2.057 1.989 1.872
-9.007 -5.739 -3.799
6.075 -2.313 6.009
Tb Th Er
1 4 3
Cartesian
-1.028 0.994 0.936
-1.828 -4.520 2.793
-3.161 -1.543 1.289
-7.624 -4.386 -0.593
2.635 -1.676 4.676
-4.504 -2.870 -1.899
0.257 -1.969 2.374
-5.246 -4.094 1.708
```

Summary:
For the total energy, the calculation gives -5.86 eV per atom.

The records above give, respectively, formation energy from the elements values of -0.37 -0.24 0.14 eV/atom.